1.
# YP2Br, relaxed, DFT GGA-PBE
# Total moment, μB/cell: 0.0
# V, Å³/f.u.: 107
# Energy, eV/atom: -5.56
data_YP2Br
_cell_length_a 4.0530
_cell_length_b 4.0530
_cell_length_c 22.4599
_cell_angle_alpha 90.00
_cell_angle_beta 90.00
_cell_angle_gamma 120.00
_symmetry_space_group_name_H-M 'R 3 m'
_symmetry_Int_Tables_number 160
_symmetry_space_group_name_Hall 'R 3 -2"'
loop_
_atom_site_label
_atom_site_fract_x
_atom_site_fract_y
_atom_site_fract_z
Y1 0.0000 0.0000 0.0000
P1 0.0000 0.0000 0.2585
P2 0.0000 0.0000 0.5757
Br1 0.0000 0.0000 0.7476

---

2.
# Th6GaFe2, relaxed, DFT GGA-PBE
# Energy of formation, eV/atom: -0.1074
# Total moment, μB/cell: 0.0
# V, Å³/f.u.: 230
data_Th6GaFe2
_cell_length_a 9.162
_cell_length_b 9.513
_cell_length_c 10.552
_cell_angle_alpha 90.00
_cell_angle_beta 90.00
_cell_angle_gamma 90.00
_symmetry_space_group_name_H-M 'I m m m'
_symmetry_Int_Tables_number 71
_symmetry_space_group_name_Hall '-I 2 2'
loop_
_atom_site_label
_atom_site_fract_x
_atom_site_fract_y
_atom_site_fract_z
Th1 0.000 0.196 0.240
Th2 0.191 0.500 0.167
Th3 0.205 0.320 0.500
Ga1 0.000 0.000 0.000
Ga2 0.000 0.000 0.500
Fe1 0.000 0.343 0.000
Fe2 0.000 0.500 0.368

---

3.
# NaTc2P2, relaxed, DFT GGA-PBE
# Energy of formation, eV/atom: -0.0800
# Total moment, μB/cell: 0.0
# V, Å³/f.u.: 86
data_NaTc2P2
_cell_length_a 4.434
_cell_length_b 4.434
_cell_length_c 8.759
_cell_angle_alpha 90.00
_cell_angle_beta 90.00
_cell_angle_gamma 90.00
_symmetry_space_group_name_H-M 'I 4/m m m'
_symmetry_Int_Tables_number 139
_symmetry_space_group_name_Hall '-I 4 2'
loop_
_atom_site_label
_atom_site_fract_x
_atom_site_fract_y
_atom_site_fract_z
Na1 0.000 0.000 0.000
Tc1 0.000 0.000 0.370
P1 0.000 0.500 0.250

---

4.
# BaCrHg2, relaxed, DFT GGA-PBE
# Energy of formation, eV/atom: 0.1887
# Total moment, μB/cell: 17.6
# V, Å³/f.u.: 141
data_BaCrHg2
_cell_length_a 5.456
_cell_length_b 5.456
_cell_length_c 18.934
_cell_angle_alpha 90.00
_cell_angle_beta 90.00
_cell_angle_gamma 90.00
_symmetry_space_group_name_H-M 'I -4 2 d'
_symmetry_Int_Tables_number 122
_symmetry_space_group_name_Hall 'I -4 2bw'
loop_
_atom_site_label
_atom_site_fract_x
_atom_site_fract_y
_atom_site_fract_z
Ba1 0.000 0.000 0.000
Cr1 0.000 0.000 0.500
Hg1 0.096 0.250 0.625